# YCoOs2, optimized geometry, DFT GGA-PBEsol
data_YCoOs2
_chemical_formula_sum 'Y1 Co1 Os2'
_space_group_name_H-M_alt 'P 1'
_space_group_IT_number 1
_cell_length_a 3.793
_cell_length_b 3.793
_cell_length_c 4.268
_cell_angle_alpha 90.00
_cell_angle_beta 90.00
_cell_angle_gamma 90.00
loop_
_space_group_symop_operation_xyz
'x,y,z'
loop_
_atom_site_label
_atom_site_type_symbol
_atom_site_fract_x
_atom_site_fract_y
_atom_site_fract_z
_atom_site_occupancy
Y1 Y 0.500 0.500 0.500 1
Os1 Os 0.500 0.000 0.000 1
Co1 Co 0.000 0.000 0.500 1
Os2 Os 0.000 0.500 0.000 1
# Raw total energy, eV for the cell shown: -37.57
# Offset from the most stable computed form, meV/atom: 113
# Density of states at the Fermi level, states/eV/f.u.: 5.15
# Formation enthalpy at 0 K, eV/atom: 0.355
# Symmetry: P4/mmm, No. 123